Entry from Alexandria via LeMat-Bulk: crystalline PrThPdRh at its relaxed geometry (PBE).

```
PrThPdRh
1.0
5.0905 0.0000 0.0000
2.5453 4.4085 0.0000
2.5453 1.4695 4.1564
Pr Rh Pd Th
1 1 1 1
Direct
0.7500 0.7500 0.7500 Pr
0.5000 0.5000 0.5000 Rh
0.0000 0.0000 0.0000 Pd
0.2500 0.2500 0.2500 Th
```

The value obtained for the energy of formation from the pure elements is -0.662 eV/atom. The calculation puts the total magnetization at 0.000 μB/atom. The distance to the lowest polymorph of the same formula comes out at 167.5 meV/atom. For the density of states at the Fermi level, the calculation gives 5.44 states/eV per cell.

***

Entry from Alexandria via LeMat-Bulk: crystalline Gd2CuAu at its relaxed geometry (PBE).

```
Gd2CuAu
1.0
3.5883 0.0000 0.0000
0.0000 3.5883 0.0000
0.0000 0.0000 7.1197
Gd Au Cu
2 1 1
Direct
0.0000 0.0000 0.7580 Gd
0.0000 0.0000 0.2420 Gd
0.5000 0.5000 0.5000 Au
0.5000 0.5000 0.0000 Cu
```

The value obtained for the energy of formation from the pure elements is -0.520 eV/atom. The calculation puts the total magnetization at 3.567 μB/atom. For the density of states at the Fermi level, the calculation gives 2.43 states/eV per cell.

***

Entry from Alexandria via LeMat-Bulk: crystalline Li2Pm2Ga3 at its relaxed geometry (PBE).

```
Li2Pm2Ga3
1.0
4.2383 0.0000 -1.0105
0.0000 7.2080 0.0000
0.1178 0.0000 9.8881
Li Pm Ga
4 4 6
Direct
0.6883 0.9403 0.3765 Li
0.3117 0.0597 0.6235 Li
0.3117 0.4403 0.6235 Li
0.6883 0.5597 0.3765 Li
0.1551 0.2500 0.3102 Pm
0.8449 0.7500 0.6898 Pm
0.9445 0.2500 0.8890 Pm
0.0555 0.7500 0.1110 Pm
0.2247 0.7500 0.4494 Ga
0.7753 0.2500 0.5506 Ga
0.5590 0.4279 0.1180 Ga
0.4410 0.5721 0.8820 Ga
0.4410 0.9279 0.8820 Ga
0.5590 0.0721 0.1180 Ga
```

The value obtained for the energy of formation from the pure elements is -0.436 eV/atom. The calculation puts the total magnetization at 0.000 μB/atom. For the density of states at the Fermi level, the calculation gives 15.94 states/eV per cell.

***

Entry from Alexandria via LeMat-Bulk: crystalline LaDyTlCu at its relaxed geometry (PBE).

```
LaDyTlCu
1.0
5.3283 0.0000 0.0000
2.6642 4.6144 0.0000
2.6642 1.5381 4.3505
Tl La Cu Dy
1 1 1 1
Direct
0.7500 0.7500 0.7500 Tl
0.0000 0.0000 0.0000 La
0.2500 0.2500 0.2500 Cu
0.5000 0.5000 0.5000 Dy
```

The value obtained for the energy of formation from the pure elements is -0.221 eV/atom. The calculation puts the total magnetization at 0.000 μB/atom. For the density of states at the Fermi level, the calculation gives 3.74 states/eV per cell.

***

Entry from Alexandria via LeMat-Bulk: crystalline MnSi2N at its relaxed geometry (PBE).

```
MnSi2N
1.0
6.1557 0.0000 0.3665
0.0000 3.9125 0.0000
-0.5129 0.0000 3.8663
Mn Si N
2 4 2
Direct
0.5000 0.3959 0.5000 Mn
0.5000 0.8959 0.0000 Mn
0.7989 0.2062 0.2213 Si
0.2011 0.2062 0.7787 Si
0.7989 0.7062 0.7213 Si
0.2011 0.7062 0.2787 Si
0.0000 0.4553 0.0000 N
0.0000 0.9553 0.5000 N
```

The calculation puts the total magnetization at 0.495 μB/atom. The formation energy from raw total energies is -0.33 eV/atom. For the density of states at the Fermi level, the calculation gives 1.67 states/eV per cell.

***

Entry from Alexandria via LeMat-Bulk: crystalline Th5UP6 at its relaxed geometry (PBE).

```
Th5UP6
1.0
7.0448 0.1727 1.0707
1.7327 5.9646 3.4779
0.1207 0.0639 7.1156
P U Th
6 1 5
Direct
0.7564 0.0811 0.3244 P
0.2436 0.5945 0.3244 P
0.2472 0.2426 0.0000 P
0.7528 0.7574 0.0000 P
0.7564 0.4055 0.6756 P
0.2436 0.9189 0.6756 P
0.0000 0.0000 0.0000 U
0.5000 0.1696 0.6608 Th
0.0000 0.3335 0.3329 Th
0.5000 0.5000 0.0000 Th
0.0000 0.6665 0.6671 Th
0.5000 0.8304 0.3392 Th
```

The value obtained for the energy of formation from the pure elements is -1.439 eV/atom. The calculation puts the total magnetization at 0.187 μB/atom. For the density of states at the Fermi level, the calculation gives 12.91 states/eV per cell.